Entry from Alexandria via LeMat-Bulk: a geometry-optimized In2Ni7Sn2 structure (GGA-PBE).

Lattice parameters (Å, degrees): 6.027 5.270 6.027 90.00 96.30 90.00
Element x y z (fractional)
Ni: 0.500 0.730 0.000
Ni: 0.000 0.730 0.500
Ni: 0.000 0.270 0.500
Ni: 0.000 0.000 0.000
Ni: 0.500 0.280 0.500
Ni: 0.500 0.720 0.500
Ni: 0.500 0.270 0.000
Sn: 0.722 0.000 0.278
Sn: 0.278 0.000 0.722
In: 0.191 0.500 0.191
In: 0.809 0.500 0.809

DOS at the Fermi energy (states/eV per atom): 0.5528
ΔE_f (eV/atom): 0.2439
SG: Cmmm (65)
VASP energy (eV per atom): -4.66